VASP calculation (PBE) on a geometry-optimized K2LiSO structure.

Properties
- Theoretical density: 1.38 Mg/m³
- Raw total energy: -3.3171 eV/atom
- Fermi-level density of states: 0.00 states/eV per cell
- E_form (uncorrected): -678 meV/atom

Lattice parameters (Å, degrees): 6.033 6.033 4.400 90.00 90.00 90.00
Space group P4/mmm (No. 123)
Symmetry-distinct sites (fractional):
K: 0.000 0.500 0.000
Li: 0.000 0.000 0.500
S: 0.000 0.000 0.000
O: 0.500 0.500 0.500

VASP calculation (PBE) on a geometry-optimized Er3Zn9Au2 structure.

Properties
- Theoretical density: 9.75 Mg/m³
- Raw total energy: -2.6647 eV/atom
- ΔH_f (0 K): -0.400 eV/atom
- Fermi-level density of states: 13.12 states/eV per cell

Lattice parameters (Å, degrees): 4.338 8.918 13.069 90.00 90.00 90.00
Space group Immm (No. 71)
Symmetry-distinct sites (fractional):
Er: 0.000 0.000 0.000
Er: 0.000 0.000 0.302
Zn: 0.000 0.279 0.136
Zn: 0.000 0.362 0.330
Zn: 0.000 0.500 0.000
Au: 0.000 0.199 0.500

VASP calculation (PBE) on a geometry-optimized Cd2Au3 structure.

Properties
- Theoretical density: 14.22 Mg/m³
- Raw total energy: -2.4776 eV/atom
- ΔH_f (0 K): -0.145 eV/atom
- Fermi-level density of states: 3.16 states/eV per cell

Lattice parameters (Å, degrees): 6.755 6.755 4.177 90.00 90.00 90.00
Space group P4/m (No. 83)
Symmetry-distinct sites (fractional):
Cd: 0.107 0.699 0.000
Au: 0.000 0.000 0.500
Au: 0.199 0.401 0.500
Au: 0.500 0.500 0.000

VASP calculation (PBE) on a geometry-optimized Li4PrAu12 structure.

Properties
- Theoretical density: 12.91 Mg/m³
- Raw total energy: -3.1451 eV/atom
- ΔH_f (0 K): -0.100 eV/atom
- Fermi-level density of states: 5.44 states/eV per cell

Lattice parameters (Å, degrees): 8.669 8.669 8.669 90.00 90.00 90.00
Space group Im-3 (No. 204)
Symmetry-distinct sites (fractional):
Li: 0.250 0.250 0.250
Pr: 0.000 0.000 0.000
Au: 0.000 0.340 0.159

VASP calculation (PBE) on a geometry-optimized La5TbEr3 structure.

Properties
- Theoretical density: 6.97 Mg/m³
- Raw total energy: -4.5266 eV/atom
- ΔH_f (0 K): 0.246 eV/atom
- Fermi-level density of states: 55.28 states/eV per cell

Lattice parameters (Å, degrees): 19.012 6.560 11.528 90.00 116.04 90.00
Space group C2/c (No. 15)
Symmetry-distinct sites (fractional):
La: 0.000 0.098 0.250
La: 0.166 0.196 0.712
La: 0.173 0.325 0.360
Tb: 0.000 0.371 0.750
Er: 0.000 0.500 0.000
Er: 0.160 0.214 0.014

VASP calculation (PBE) on a geometry-optimized KPF3 structure.

Properties
- Theoretical density: 1.99 Mg/m³
- Raw total energy: -2.9091 eV/atom
- Offset from the most stable computed form: 1.232 eV/atom
- Fermi-level density of states: 5.95 states/eV per cell
- E_form (uncorrected): -485 meV/atom

Lattice parameters (Å, degrees): 4.733 4.733 4.733 90.00 90.00 90.00
Space group Pm-3m (No. 221)
Symmetry-distinct sites (fractional):
K: 0.000 0.000 0.000
P: 0.500 0.500 0.500
F: 0.000 0.000 0.500